(1)
Rb2FeCuCl6: relaxed, GGA-PBE. Values from VASP.

```
&SYSTEM
  ibrav = 0, nat = 10, ntyp = 4
/
ATOMIC_SPECIES
Cl 35.45 Cl.upf
Rb 85.47 Rb.upf
Fe 55.84 Fe.upf
Cu 63.55 Cu.upf
ATOMIC_POSITIONS angstrom
Cl 4.9170 2.4274 4.9170
Cl 4.9170 4.9170 7.4066
Cl 4.9170 4.9170 2.4274
Cl 4.9170 7.4066 4.9170
Cl 7.4066 4.9170 4.9170
Cl 2.4274 4.9170 4.9170
Rb 2.4585 2.4585 2.4585
Rb 7.3755 7.3755 7.3755
Fe 0.0000 0.0000 0.0000
Cu 4.9170 4.9170 4.9170
CELL_PARAMETERS angstrom
0.0000 4.9170 4.9170
4.9170 0.0000 4.9170
4.9170 4.9170 0.0000
```

Properties
- E: -3.68 eV per atom
- Size of the total moment: 4.4 μB/f.u.
- Space group: Fm-3m, No. 225

***

(2)
LiCo2Bi: relaxed, GGA-PBE. Values from VASP.

```
&SYSTEM
  ibrav = 0, nat = 4, ntyp = 3
/
ATOMIC_SPECIES
Bi 208.98 Bi.upf
Co 58.93 Co.upf
Li 6.94 Li.upf
ATOMIC_POSITIONS angstrom
Bi -0.8787 -2.4588 -0.1893
Co -2.6362 -7.3764 -0.5679
Co -1.7574 -4.9176 -0.3786
Li 0.0000 0.0000 0.0000
CELL_PARAMETERS angstrom
1.0063 -4.1185 0.5494
-2.9654 -2.7617 1.3624
-1.5558 -2.9550 -2.6690
```

Properties
- E: -4.81 eV per atom
- Size of the total moment: 2.6 μB/f.u.
- Space group: F-43m, No. 216

***

(3)
TmTa4Cd3O12: relaxed, GGA-PBE. Values from VASP.

```
&SYSTEM
  ibrav = 0, nat = 20, ntyp = 4
/
ATOMIC_SPECIES
Ta 180.95 Ta.upf
O 16.00 O.upf
Cd 112.41 Cd.upf
Tm 168.93 Tm.upf
ATOMIC_POSITIONS angstrom
Ta -1.2737 -2.5140 2.0098
Ta 3.1259 -0.9253 -1.1636
Ta -0.2711 -2.9207 -1.8379
Ta -2.1233 0.5186 -2.6841
O -0.4578 -4.2801 2.4851
O 3.7395 -1.1851 -3.0523
O -1.1237 -1.1396 -2.1723
O 1.3664 -1.8490 -1.4123
O 0.2181 -3.2535 -3.7513
O 0.5816 -4.7017 -1.5035
O -4.2817 -4.6562 -0.6235
O -3.8286 -0.4270 -3.1407
O 3.2865 -5.4143 -0.5351
O -0.0844 -1.5612 -6.1610
O -1.9086 -3.9923 -2.2636
O -0.7602 -2.5878 0.0754
Cd -3.3970 -1.9953 -0.6743
Cd 1.8522 -3.4393 0.8462
Cd 1.0026 -0.4067 -3.8477
Tm 0.0000 0.0000 0.0000
CELL_PARAMETERS angstrom
6.2519 -1.8507 -2.3273
-2.5474 -5.0280 4.0196
-4.2466 1.0373 -5.3682
```

Properties
- E: -7.87 eV per atom
- Size of the total moment: 0.0 μB/f.u.
- Space group: Im-3, No. 204

***

(4)
HfZrTa2Si2: relaxed, GGA-PBE. Values from VASP.

```
&SYSTEM
  ibrav = 0, nat = 6, ntyp = 4
/
ATOMIC_SPECIES
Ta 180.95 Ta.upf
Si 28.09 Si.upf
Zr 91.22 Zr.upf
Hf 178.49 Hf.upf
ATOMIC_POSITIONS angstrom
Ta 0.5563 -7.1166 2.5326
Ta 3.1558 -6.3362 2.6950
Si 2.7544 -10.5380 6.5509
Si 0.4247 -1.6248 1.0100
Zr 2.1546 -8.2430 5.1243
Hf 1.0264 -3.9270 2.4412
CELL_PARAMETERS angstrom
4.1887 -5.2998 3.9421
-1.0102 -6.8606 3.6173
-1.0524 4.7756 -6.1040
```

Properties
- E: -9.52 eV per atom
- Size of the total moment: 0.0 μB/f.u.
- Space group: I4mm, No. 107

***

(5)
B2Pt2O5: relaxed, GGA-PBE. Values from VASP.

```
&SYSTEM
  ibrav = 0, nat = 9, ntyp = 3
/
ATOMIC_SPECIES
O 16.00 O.upf
Pt 195.08 Pt.upf
B 10.81 B.upf
ATOMIC_POSITIONS angstrom
O 5.5119 0.0000 1.6843
O 1.4795 1.6843 0.0000
O 1.4795 0.0000 1.6843
O 5.5119 1.6843 0.0000
O 3.4957 1.6843 1.6843
Pt 0.0000 0.0000 0.0000
Pt 3.4957 0.0000 0.0000
B 4.9693 1.6843 1.6843
B 2.0221 1.6843 1.6843
CELL_PARAMETERS angstrom
6.9914 0.0000 0.0000
0.0000 3.3685 0.0000
0.0000 0.0000 3.3685
```

Properties
- Relative energy among the computed polymorphs: 0.000 eV per atom
- E: -5.64 eV per atom
- Size of the total moment: 1.4 μB/f.u.
- Space group: P4/mmm, No. 123

***

(6)
LaCdNO: relaxed, GGA-PBE. Values from VASP.

```
&SYSTEM
  ibrav = 0, nat = 16, ntyp = 4
/
ATOMIC_SPECIES
Cd 112.41 Cd.upf
La 138.91 La.upf
O 16.00 O.upf
N 14.01 N.upf
ATOMIC_POSITIONS angstrom
Cd -5.8904 -1.6413 -3.9323
Cd 0.1107 -4.1951 -3.2592
Cd -3.5419 -4.5140 -3.3106
Cd -2.2378 -1.3224 -3.8810
La -1.9099 -4.6202 -6.2420
La -5.6239 -4.9062 -6.3462
La -3.9136 -1.2449 -0.9164
La -0.1996 -0.9589 -0.8122
O -4.6108 -2.8031 -2.4841
O -2.2901 -5.3907 -1.6526
O -1.7441 -3.4094 -4.2727
O -4.0647 -0.8218 -5.1042
N -2.0033 -0.0106 -2.1010
N -3.6915 -3.8989 -7.6979
N -4.0297 -5.9915 -4.8990
N -2.3415 -2.1032 0.6978
CELL_PARAMETERS angstrom
-4.3639 2.3353 -3.7528
0.6652 -6.8110 -5.0119
-3.8241 -2.5006 2.8907
```

Properties
- Relative energy among the computed polymorphs: 0.085 eV per atom
- E: -6.04 eV per atom
- Size of the total moment: 0.0 μB/f.u.
- Space group: Pca2_1, No. 29

***

(7)
Gd3Tl3Sn4: relaxed, GGA-PBE. Values from VASP.

```
&SYSTEM
  ibrav = 0, nat = 10, ntyp = 3
/
ATOMIC_SPECIES
Tl 204.38 Tl.upf
Gd 157.25 Gd.upf
Sn 118.71 Sn.upf
ATOMIC_POSITIONS angstrom
Tl 3.7430 1.6356 4.3372
Tl -0.7827 2.1463 2.4227
Tl -5.3084 2.6570 0.5083
Gd -7.8213 0.5740 -0.7808
Gd 5.9682 -0.9820 5.0525
Gd 0.0000 0.0000 0.0000
Sn -3.0880 0.0399 1.2215
Sn 8.0848 1.1456 6.1739
Sn -9.6502 3.1469 -1.3284
Sn 1.2349 -0.4479 3.0502
CELL_PARAMETERS angstrom
-11.9833 1.0437 -2.5414
10.1302 -1.4517 6.8131
0.2877 4.7005 0.5738
```

Properties
- Relative energy among the computed polymorphs: 0.043 eV per atom
- E: -4.12 eV per atom
- Size of the total moment: 0.0 μB/f.u.
- Space group: Cmmm, No. 65

***

(8)
LaHfAsO: relaxed, GGA-PBE. Values from VASP.

```
&SYSTEM
  ibrav = 0, nat = 8, ntyp = 4
/
ATOMIC_SPECIES
O 16.00 O.upf
La 138.91 La.upf
Hf 178.49 Hf.upf
As 74.92 As.upf
ATOMIC_POSITIONS angstrom
O 0.0000 0.0000 0.0000
O 2.0660 2.0660 0.0000
La 2.0660 2.0660 4.3861
La 0.0000 0.0000 4.3861
Hf 0.0000 2.0660 7.9577
Hf 2.0660 0.0000 0.8146
As 0.0000 2.0660 2.1536
As 2.0660 0.0000 6.6187
CELL_PARAMETERS angstrom
4.1320 0.0000 0.0000
0.0000 4.1320 0.0000
0.0000 0.0000 8.7723
```

Properties
- Relative energy among the computed polymorphs: 0.576 eV per atom
- E: -7.53 eV per atom
- Size of the total moment: 0.0 μB/f.u.
- Space group: P4/nmm, No. 129

***

(9)
SrBi2Pt: relaxed, GGA-PBE. Values from VASP.

```
&SYSTEM
  ibrav = 0, nat = 48, ntyp = 3
/
ATOMIC_SPECIES
Pt 195.08 Pt.upf
Bi 208.98 Bi.upf
Sr 87.62 Sr.upf
ATOMIC_POSITIONS angstrom
Pt 7.8300 3.6985 9.6398
Pt 0.8112 1.2328 1.6615
Pt 12.0989 3.6985 11.8750
Pt 9.4523 1.2328 6.3169
Pt 13.8244 1.2328 3.8966
Pt 3.4578 3.6985 12.0601
Pt 5.1365 1.2328 15.2932
Pt 12.1457 3.6985 0.6636
Pt 13.7776 1.2328 8.6419
Pt 5.1833 1.2328 4.0818
Pt 3.5046 3.6985 7.3148
Pt 16.4711 3.6985 14.2953
Bi 11.5392 1.2328 1.9797
Bi 7.9260 1.2328 15.1851
Bi 14.3841 3.6985 9.9581
Bi 16.8921 3.6985 1.2097
Bi 16.5671 1.2328 8.7500
Bi 16.7056 1.2328 4.1833
Bi 3.6552 1.2328 1.7509
Bi 3.2303 1.2328 13.2138
Bi 4.9860 3.6985 9.7293
Bi 8.0645 1.2328 3.7951
Bi 2.8981 1.2328 5.9987
Bi 5.7430 3.6985 13.9770
Bi 0.5766 3.6985 11.7735
Bi 8.2510 3.6985 6.7687
Bi 14.0519 3.6985 2.7429
Bi 12.2963 1.2328 6.2274
Bi 9.3562 3.6985 0.7717
Bi 11.8714 1.2328 10.7213
Bi 9.0312 1.2328 9.1881
Bi 13.6270 3.6985 14.2058
Bi 0.3901 1.2328 14.7471
Bi 0.7151 3.6985 7.2067
Bi 9.2177 3.6985 12.1617
Bi 5.4108 3.6985 5.2355
Sr 2.0701 3.6985 3.7120
Sr 6.1259 3.6985 1.7370
Sr 2.5152 1.2328 9.7154
Sr 15.2121 1.2328 12.2447
Sr 11.2926 3.6985 8.4004
Sr 2.6515 3.6985 15.5347
Sr 11.1563 1.2328 14.2198
Sr 14.6307 1.2328 0.4221
Sr 6.5710 1.2328 11.6904
Sr 10.7112 3.6985 4.2663
Sr 5.9896 1.2328 7.5563
Sr 14.7670 3.6985 6.2414
CELL_PARAMETERS angstrom
17.2822 0.0000 0.0000
0.0000 4.9313 0.0000
0.0000 0.0000 15.9567
```

Properties
- E: -4.56 eV per atom
- Size of the total moment: 0.0 μB/f.u.
- Space group: Pnma, No. 62

***

(10)
DyTm2Fe8Co: relaxed, GGA-PBE. Values from VASP.

```
&SYSTEM
  ibrav = 0, nat = 12, ntyp = 4
/
ATOMIC_SPECIES
Tm 168.93 Tm.upf
Fe 55.84 Fe.upf
Co 58.93 Co.upf
Dy 162.50 Dy.upf
ATOMIC_POSITIONS angstrom
Tm 14.4414 14.5976 -2.5231
Tm 2.3940 2.4198 -0.4183
Fe 9.0675 10.5184 -2.8139
Fe 6.0028 8.1026 -0.9521
Fe 7.7678 6.4991 -0.1275
Fe 9.6154 10.4016 -0.3536
Fe 5.6026 5.6632 -0.9788
Fe 10.8325 8.9148 -1.9892
Fe 11.2327 11.3542 -1.9625
Fe 7.2199 6.6159 -2.5877
Co 8.4177 8.5087 -1.4707
Dy 0.0000 0.0000 0.0000
CELL_PARAMETERS angstrom
5.1671 6.5829 1.7417
7.5937 3.6186 -1.5194
4.0746 6.8159 -3.1636
```

Properties
- E: -7.39 eV per atom
- Size of the total moment: 16.8 μB/f.u.
- Energy of formation from the pure elements: -0.13 eV per atom
- Space group: R-3m, No. 166

***

(11)
BeZnFeB: relaxed, GGA-PBE. Values from VASP.

```
&SYSTEM
  ibrav = 0, nat = 4, ntyp = 4
/
ATOMIC_SPECIES
Be 9.01 Be.upf
B 10.81 B.upf
Zn 65.41 Zn.upf
Fe 55.84 Fe.upf
ATOMIC_POSITIONS angstrom
Be -3.0572 -3.2495 -1.3895
B -1.5286 -1.6248 -0.6947
Zn 0.0000 0.0000 0.0000
Fe -4.5858 -4.8743 -2.0842
CELL_PARAMETERS angstrom
-2.8761 -2.2484 1.1093
-2.8661 -0.7562 -2.4023
-0.3721 -3.4945 -1.4859
```

Properties
- Relative energy among the computed polymorphs: 0.313 eV per atom
- E: -4.38 eV per atom
- Size of the total moment: 1.5 μB/f.u.
- Space group: F-43m, No. 216

***

(12)
DyY2Er2Tm2Ni2Te2: relaxed, GGA-PBE. Values from VASP.

```
&SYSTEM
  ibrav = 0, nat = 11, ntyp = 6
/
ATOMIC_SPECIES
Ni 58.69 Ni.upf
Tm 168.93 Tm.upf
Y 88.91 Y.upf
Te 127.60 Te.upf
Er 167.26 Er.upf
Dy 162.50 Dy.upf
ATOMIC_POSITIONS angstrom
Ni 0.0000 3.7018 3.8451
Ni 1.9136 4.0434 -0.9159
Tm 1.9136 -5.6945 3.7635
Tm 1.9136 5.6945 3.7635
Y 0.0000 10.6050 0.9312
Y 0.0000 4.8854 0.9312
Te 0.0000 0.0000 1.3368
Te 0.0000 7.7452 2.3120
Er 1.9136 -2.2756 2.3450
Er 1.9136 2.2756 2.3450
Dy 0.0000 0.0000 4.5389
CELL_PARAMETERS angstrom
-1.9136 7.7452 4.7610
1.9136 -7.7452 4.7610
1.9136 7.7452 -4.7610
```

Properties
- Relative energy among the computed polymorphs: 0.014 eV per atom
- E: -5.49 eV per atom
- Size of the total moment: 0.0 μB/f.u.
- Space group: Imm2, No. 44

***

(13)
CsZrAuO3: relaxed, GGA-PBE. Values from VASP.

```
&SYSTEM
  ibrav = 0, nat = 24, ntyp = 4
/
ATOMIC_SPECIES
O 16.00 O.upf
Cs 132.91 Cs.upf
Au 196.97 Au.upf
Zr 91.22 Zr.upf
ATOMIC_POSITIONS angstrom
O 0.5204 2.4058 0.3494
O -4.1650 8.8023 1.6958
O 3.3388 8.4316 3.2573
O -2.6550 6.9173 0.1204
O 3.5257 4.3755 2.8949
O 0.6286 8.3639 2.6733
O 2.6390 10.7021 1.6231
O 5.5362 6.7137 1.8447
O 2.8259 6.6460 1.2608
O 10.3297 6.2753 2.8222
O 8.8197 8.1603 4.3977
O 5.6444 12.6718 4.1687
Cs 7.6179 5.4945 3.8774
Cs 0.6499 4.8576 2.3302
Cs -1.4532 9.5832 0.6406
Cs 5.5148 10.2200 2.1878
Au 1.2197 11.4130 3.1015
Au -2.8767 5.3761 1.6305
Au 9.0414 9.7016 2.8875
Au 4.9450 3.6647 1.4165
Zr 3.9645 6.4427 3.1933
Zr 2.2003 8.6350 1.3247
Zr -0.5990 1.2840 1.7099
Zr 6.7637 13.7936 2.8081
CELL_PARAMETERS angstrom
-4.8642 9.1471 -0.1291
-0.6904 -0.3214 3.2415
11.3742 6.0913 3.0264
```

Properties
- E: -6.58 eV per atom
- Size of the total moment: 0.0 μB/f.u.
- Space group: Pnma, No. 62

***

(14)
AlZnPb: relaxed, GGA-PBE. Values from VASP.

```
&SYSTEM
  ibrav = 0, nat = 3, ntyp = 3
/
ATOMIC_SPECIES
Al 26.98 Al.upf
Zn 65.41 Zn.upf
Pb 207.20 Pb.upf
ATOMIC_POSITIONS angstrom
Al -5.4082 -2.0969 0.8060
Zn 0.0000 0.0000 0.0000
Pb -2.7041 -1.0484 0.4030
CELL_PARAMETERS angstrom
-2.6340 -3.1869 2.4020
-4.4562 1.1036 1.3370
-3.7262 -2.1105 -2.1271
```

Properties
- Relative energy among the computed polymorphs: 0.158 eV per atom
- E: -2.51 eV per atom
- Space group: F-43m, No. 216

***

(15)
YNbCoSb: relaxed, GGA-PBE. Values from VASP.

```
&SYSTEM
  ibrav = 0, nat = 4, ntyp = 4
/
ATOMIC_SPECIES
Nb 92.91 Nb.upf
Sb 121.76 Sb.upf
Y 88.91 Y.upf
Co 58.93 Co.upf
ATOMIC_POSITIONS angstrom
Nb 1.6769 1.6769 1.6769
Sb 0.0000 0.0000 0.0000
Y 3.3538 3.3538 3.3538
Co 5.0306 5.0306 5.0306
CELL_PARAMETERS angstrom
0.0000 3.3538 3.3538
3.3538 0.0000 3.3538
3.3538 3.3538 0.0000
```

Properties
- Relative energy among the computed polymorphs: 0.000 eV per atom
- E: -6.77 eV per atom
- Size of the total moment: 2.0 μB/f.u.
- Space group: F-43m, No. 216

***

(16)
Y2Tm2Ni: relaxed, GGA-PBE. Values from VASP.

```
&SYSTEM
  ibrav = 0, nat = 10, ntyp = 3
/
ATOMIC_SPECIES
Ni 58.69 Ni.upf
Tm 168.93 Tm.upf
Y 88.91 Y.upf
ATOMIC_POSITIONS angstrom
Ni 0.0000 0.0000 8.0180
Ni 0.0000 0.0000 2.6727
Tm 0.0000 3.0654 8.0180
Tm 2.6547 1.5327 2.6727
Tm 0.0000 0.0000 0.0000
Tm 0.0000 0.0000 5.3453
Y 2.6547 1.5327 9.6666
Y 0.0000 3.0654 1.0240
Y 0.0000 3.0654 4.3213
Y 2.6547 1.5327 6.3693
CELL_PARAMETERS angstrom
5.3094 0.0000 0.0000
-2.6547 4.5981 0.0000
0.0000 0.0000 10.6906
```

Properties
- E: -5.48 eV per atom
- Size of the total moment: 0.0 μB/f.u.
- Energy of formation from the pure elements: 0.01 eV per atom
- Space group: P6_3/mmc, No. 194

***

(17)
Cd2FePd: relaxed, GGA-PBE. Values from VASP.

```
&SYSTEM
  ibrav = 0, nat = 4, ntyp = 3
/
ATOMIC_SPECIES
Cd 112.41 Cd.upf
Pd 106.42 Pd.upf
Fe 55.84 Fe.upf
ATOMIC_POSITIONS angstrom
Cd -0.2146 -3.9827 7.3976
Cd 0.0000 0.0000 0.0000
Pd -0.1431 -2.6552 4.9317
Fe -0.0715 -1.3276 2.4659
CELL_PARAMETERS angstrom
1.1142 -3.8520 2.2021
1.3324 0.1689 4.3731
-2.7327 -1.6272 3.2883
```

Properties
- E: -3.75 eV per atom
- Size of the total moment: 3.1 μB/f.u.
- Energy of formation from the pure elements: 0.07 eV per atom
- Space group: F-43m, No. 216

***

(18)
YLu3C2S2: relaxed, GGA-PBE. Values from VASP.

```
&SYSTEM
  ibrav = 0, nat = 8, ntyp = 4
/
ATOMIC_SPECIES
Lu 174.97 Lu.upf
C 12.01 C.upf
S 32.06 S.upf
Y 88.91 Y.upf
ATOMIC_POSITIONS angstrom
Lu 0.0000 0.0000 7.5908
Lu 0.0000 2.0978 1.3414
Lu 0.0000 2.0978 5.0204
C 1.8167 1.0489 0.0553
C 1.8167 1.0489 6.3018
S 0.0000 2.0978 9.4114
S 0.0000 0.0000 3.1734
Y 0.0000 0.0000 11.3300
CELL_PARAMETERS angstrom
3.6335 0.0000 0.0000
-1.8167 3.1467 0.0000
0.0000 0.0000 12.6356
```

Properties
- E: -7.15 eV per atom
- Size of the total moment: 0.0 μB/f.u.
- Space group: P3m1, No. 156

***

(19)
LiMgNb: relaxed, GGA-PBE. Values from VASP.

```
&SYSTEM
  ibrav = 0, nat = 3, ntyp = 3
/
ATOMIC_SPECIES
Li 6.94 Li.upf
Mg 24.30 Mg.upf
Nb 92.91 Nb.upf
ATOMIC_POSITIONS angstrom
Li 1.8288 -2.0427 0.5244
Mg 5.4865 -6.1282 1.5733
Nb 0.0000 0.0000 0.0000
CELL_PARAMETERS angstrom
4.4263 -1.0690 0.2123
1.4839 -2.9513 3.1413
1.4051 -4.1507 -1.2559
```

Properties
- E: -3.19 eV per atom
- Size of the total moment: 0.1 μB/f.u.
- Space group: F-43m, No. 216

***

(20)
LiMgTeIr: relaxed, GGA-PBE. Values from VASP.

```
&SYSTEM
  ibrav = 0, nat = 4, ntyp = 4
/
ATOMIC_SPECIES
Ir 192.22 Ir.upf
Te 127.60 Te.upf
Mg 24.30 Mg.upf
Li 6.94 Li.upf
ATOMIC_POSITIONS angstrom
Ir 0.0000 0.0000 0.0000
Te 1.6177 1.6177 1.6177
Mg 4.8530 4.8530 4.8530
Li 3.2353 3.2353 3.2353
CELL_PARAMETERS angstrom
0.0000 3.2353 3.2353
3.2353 0.0000 3.2353
3.2353 3.2353 0.0000
```

Properties
- Relative energy among the computed polymorphs: 0.000 eV per atom
- E: -4.19 eV per atom
- Size of the total moment: 0.0 μB/f.u.
- Space group: F-43m, No. 216